Record 1
# Cd2HgTe (PBE, optimized geometry)
# **E_tot**: -10.045 eV for the cell shown
# **ΔE to the lowest computed polymorph**: 177 meV/atom
data_Cd2HgTe
_chemical_formula_sum 'Cd4 Hg2 Te2'
_symmetry_space_group_name_H-M 'C m m 2'
_symmetry_Int_Tables_number 35
_symmetry_space_group_name_Hall 'C 2 -2'
_cell_length_a 4.215
_cell_length_b 5.539
_cell_length_c 9.170
_cell_angle_alpha 90.00
_cell_angle_beta 90.00
_cell_angle_gamma 90.00
loop_
_atom_site_label
_atom_site_fract_x
_atom_site_fract_y
_atom_site_fract_z
Cd1 0.000 0.000 0.000
Cd2 0.000 0.500 0.230
Hg1 0.000 0.500 0.760
Te1 0.000 0.000 0.471

=====

Record 2
# NdSm2PaP4 (PBE, optimized geometry)
# **Formation energy**: -1.506 eV per atom
# **E_tot**: -114.784 eV for the cell shown
data_NdSm2PaP4
_chemical_formula_sum 'Nd2 Sm4 Pa2 P8'
_symmetry_space_group_name_H-M 'I -4 m 2'
_symmetry_Int_Tables_number 119
_symmetry_space_group_name_Hall 'I -4 -2'
_cell_length_a 5.761
_cell_length_b 5.761
_cell_length_c 11.543
_cell_angle_alpha 90.00
_cell_angle_beta 90.00
_cell_angle_gamma 90.00
loop_
_atom_site_label
_atom_site_fract_x
_atom_site_fract_y
_atom_site_fract_z
Nd1 0.000 0.000 0.000
Sm1 0.000 0.000 0.500
Sm2 0.000 0.500 0.250
Pa1 0.000 0.500 0.750
P1 0.000 0.000 0.251
P2 0.000 0.500 0.510

=====

Record 3
# BaSc (PBE, optimized geometry)
# **Formation energy**: 0.362 eV per atom
# **E_tot**: -45.178 eV for the cell shown
# **ΔE to the lowest computed polymorph**: 127 meV/atom
data_BaSc
_chemical_formula_sum 'Ba6 Sc6'
_symmetry_space_group_name_H-M 'I m m 2'
_symmetry_Int_Tables_number 44
_symmetry_space_group_name_Hall 'I 2 -2'
_cell_length_a 3.778
_cell_length_b 15.772
_cell_length_c 8.518
_cell_angle_alpha 90.00
_cell_angle_beta 90.00
_cell_angle_gamma 90.00
loop_
_atom_site_label
_atom_site_fract_x
_atom_site_fract_y
_atom_site_fract_z
Ba1 0.000 0.000 0.000
Ba2 0.000 0.292 0.196
Sc1 0.000 0.000 0.563
Sc2 0.000 0.405 0.828

=====

Record 4
# CaH2Pd4 (PBE, optimized geometry)
# **E_tot**: -94.408 eV for the cell shown
# **ΔE to the lowest computed polymorph**: 0 meV/atom
data_CaH2Pd4
_chemical_formula_sum 'Ca3 H6 Pd12'
_symmetry_space_group_name_H-M 'R -3 m'
_symmetry_Int_Tables_number 166
_symmetry_space_group_name_Hall '-R 3 2"'
_cell_length_a 4.5647
_cell_length_b 4.5647
_cell_length_c 15.8993
_cell_angle_alpha 90.00
_cell_angle_beta 90.00
_cell_angle_gamma 120.00
loop_
_atom_site_label
_atom_site_fract_x
_atom_site_fract_y
_atom_site_fract_z
Ca1 0.0000 0.0000 0.0000
H1 0.0000 0.0000 0.3068
Pd1 0.0000 0.0000 0.1990
Pd2 0.0000 0.0000 0.4167

=====

Record 5
# Ta2TiAuN (PBE, optimized geometry)
# **E_tot**: -46.446 eV for the cell shown
data_Ta2TiAuN
_chemical_formula_sum 'Ta2 Ti1 Au1 N1'
_symmetry_space_group_name_H-M 'P 4/m m m'
_symmetry_Int_Tables_number 123
_symmetry_space_group_name_Hall '-P 4 2'
_cell_length_a 4.234
_cell_length_b 4.234
_cell_length_c 4.182
_cell_angle_alpha 90.00
_cell_angle_beta 90.00
_cell_angle_gamma 90.00
loop_
_atom_site_label
_atom_site_fract_x
_atom_site_fract_y
_atom_site_fract_z
Ta1 0.000 0.500 0.000
Ti1 0.000 0.000 0.500
Au1 0.500 0.500 0.500
N1 0.000 0.000 0.000

=====

Record 6
# LiMn2W (PBE, optimized geometry)
# **Formation energy**: 0.281 eV per atom
# **E_tot**: -32.083 eV for the cell shown
data_LiMn2W
_chemical_formula_sum 'Li1 Mn2 W1'
_symmetry_space_group_name_H-M 'P 4/m m m'
_symmetry_Int_Tables_number 123
_symmetry_space_group_name_Hall '-P 4 2'
_cell_length_a 4.117
_cell_length_b 4.117
_cell_length_c 3.051
_cell_angle_alpha 90.00
_cell_angle_beta 90.00
_cell_angle_gamma 90.00
loop_
_atom_site_label
_atom_site_fract_x
_atom_site_fract_y
_atom_site_fract_z
Li1 0.000 0.000 0.000
Mn1 0.000 0.500 0.500
W1 0.500 0.500 0.000

=====

Record 7
# Ni5PdPt8 (PBE, optimized geometry)
# **Formation energy**: 0.160 eV per atom
# **E_tot**: -160.365 eV for the cell shown
# **ΔE to the lowest computed polymorph**: 14 meV/atom
data_Ni5PdPt8
_chemical_formula_sum 'Ni10 Pd2 Pt16'
_symmetry_space_group_name_H-M 'I -4'
_symmetry_Int_Tables_number 82
_symmetry_space_group_name_Hall 'I -4'
_cell_length_a 7.442
_cell_length_b 7.442
_cell_length_c 7.538
_cell_angle_alpha 90.00
_cell_angle_beta 90.00
_cell_angle_gamma 90.00
loop_
_atom_site_label
_atom_site_fract_x
_atom_site_fract_y
_atom_site_fract_z
Ni1 0.000 0.000 0.000
Ni2 0.123 0.211 0.588
Pd1 0.000 0.500 0.250
Pt1 0.069 0.332 0.917
Pt2 0.102 0.165 0.259

=====

Record 8
# Si2TcP (PBE, optimized geometry)
# **E_tot**: -52.420 eV for the cell shown
data_Si2TcP
_chemical_formula_sum 'Si4 Tc2 P2'
_symmetry_space_group_name_H-M 'I m m 2'
_symmetry_Int_Tables_number 44
_symmetry_space_group_name_Hall 'I 2 -2'
_cell_length_a 3.205
_cell_length_b 4.522
_cell_length_c 7.560
_cell_angle_alpha 90.00
_cell_angle_beta 90.00
_cell_angle_gamma 90.00
loop_
_atom_site_label
_atom_site_fract_x
_atom_site_fract_y
_atom_site_fract_z
Si1 0.000 0.000 0.000
Si2 0.000 0.500 0.263
Tc1 0.000 0.500 0.767
P1 0.000 0.000 0.543

=====

Record 9
# GaAg2Sb (PBE, optimized geometry)
# **E_tot**: -37.281 eV for the cell shown
# **ΔE to the lowest computed polymorph**: 14 meV/atom
data_GaAg2Sb
_chemical_formula_sum 'Ga3 Ag6 Sb3'
_symmetry_space_group_name_H-M 'R 3 m'
_symmetry_Int_Tables_number 160
_symmetry_space_group_name_Hall 'R 3 -2"'
_cell_length_a 4.4928
_cell_length_b 4.4928
_cell_length_c 15.0209
_cell_angle_alpha 90.00
_cell_angle_beta 90.00
_cell_angle_gamma 120.00
loop_
_atom_site_label
_atom_site_fract_x
_atom_site_fract_y
_atom_site_fract_z
Ga1 0.0000 0.0000 0.0000
Ag1 0.0000 0.0000 0.3895
Ag2 0.0000 0.0000 0.5922
Sb1 0.0000 0.0000 0.8099

=====

Record 10
# BaSiC (PBE, optimized geometry)
# **E_tot**: -29.618 eV for the cell shown
# **ΔE to the lowest computed polymorph**: 413 meV/atom
data_BaSiC
_chemical_formula_sum 'Ba2 Si2 C2'
_symmetry_space_group_name_H-M 'I 4 m m'
_symmetry_Int_Tables_number 107
_symmetry_space_group_name_Hall 'I 4 -2'
_cell_length_a 4.828
_cell_length_b 4.828
_cell_length_c 7.996
_cell_angle_alpha 90.00
_cell_angle_beta 90.00
_cell_angle_gamma 90.00
loop_
_atom_site_label
_atom_site_fract_x
_atom_site_fract_y
_atom_site_fract_z
Ba1 0.000 0.000 0.000
Si1 0.000 0.000 0.427
C1 0.000 0.000 0.641

=====

Record 11
# ThZn8CuAu2 (PBE, optimized geometry)
# **Formation energy**: -0.150 eV per atom
# **E_tot**: -60.117 eV for the cell shown
data_ThZn8CuAu2
_chemical_formula_sum 'Th2 Zn16 Cu2 Au4'
_symmetry_space_group_name_H-M 'C 1 2/m 1'
_symmetry_Int_Tables_number 12
_symmetry_space_group_name_Hall '-C 2y'
_cell_length_a 7.702
_cell_length_b 4.999
_cell_length_c 11.355
_cell_angle_alpha 90.00
_cell_angle_beta 100.37
_cell_angle_gamma 90.00
loop_
_atom_site_label
_atom_site_fract_x
_atom_site_fract_y
_atom_site_fract_z
Th1 0.000 0.000 0.000
Zn1 0.059 0.245 0.318
Zn2 0.172 0.500 0.533
Zn3 0.239 0.500 0.174
Cu1 0.000 0.000 0.500
Au1 0.133 0.500 0.865

=====

Record 12
# NdYErTl (PBE, optimized geometry)
# **Formation energy**: -0.061 eV per atom
# **E_tot**: -73.624 eV for the cell shown
# **ΔE to the lowest computed polymorph**: 124 meV/atom
data_NdYErTl
_chemical_formula_sum 'Nd4 Y4 Er4 Tl4'
_symmetry_space_group_name_H-M 'F -4 3 m'
_symmetry_Int_Tables_number 216
_symmetry_space_group_name_Hall 'F -4 2 3'
_cell_length_a 7.810
_cell_length_b 7.810
_cell_length_c 7.810
_cell_angle_alpha 90.00
_cell_angle_beta 90.00
_cell_angle_gamma 90.00
loop_
_atom_site_label
_atom_site_fract_x
_atom_site_fract_y
_atom_site_fract_z
Nd1 0.000 0.000 0.000
Y1 0.000 0.000 0.500
Er1 0.250 0.250 0.250
Tl1 0.250 0.250 0.750